one) Below is a relaxed ZnFe2Co2 crystal, with properties calculated at the PBE-GGA level.

Summary:
As for the space group: P-3m1. The total moment is 8.1 μB per formula unit. The value obtained for the density of states at the Fermi level is 3.07 states/eV/f.u.

Geometry as POSCAR:
```
ZnFe2Co2
1.0
3.972 0.000 0.000
-1.986 3.440 0.000
0.000 0.000 4.789
Zn Fe Co
1 2 2
direct
0.000 0.000 0.000
0.333 0.667 0.652
0.667 0.333 0.348
0.333 0.667 0.168
0.667 0.333 0.832
```

two) Below is a relaxed ZnFe2Co2 crystal, with properties calculated at the PBE-GGA level.

Summary:
As for the space group: P4/mbm. The total moment is 7.8 μB per formula unit. The value obtained for the density of states at the Fermi level is 3.66 states/eV/f.u.

Geometry as POSCAR:
```
ZnFe2Co2
1.0
6.772 0.000 0.000
0.000 6.772 0.000
0.000 0.000 2.685
Zn Fe Co
2 4 4
direct
0.000 0.000 0.000
0.500 0.500 0.000
0.158 0.342 0.500
0.342 0.842 0.500
0.658 0.158 0.500
0.842 0.658 0.500
0.138 0.638 0.000
0.362 0.138 0.000
0.638 0.862 0.000
0.862 0.362 0.000
```

Which structure is the least stable? The one labeled one).

one) Below is a relaxed ZnFe3Co crystal, with properties calculated at the PBE-GGA level.

Summary:
As for the space group: Pm-3m. The total moment is 9.8 μB per formula unit. The value obtained for the density of states at the Fermi level is 2.52 states/eV/f.u.

Geometry as POSCAR:
```
ZnFe3Co
1.0
4.318 0.000 0.000
0.000 4.318 0.000
0.000 0.000 4.318
Zn Fe Co
1 3 1
direct
0.000 0.000 0.000
0.000 0.500 0.500
0.500 0.000 0.500
0.500 0.500 0.000
0.500 0.500 0.500
```

two) Below is a relaxed ZnFe3Co crystal, with properties calculated at the PBE-GGA level.

Summary:
As for the space group: Imma. The total moment is 8.9 μB per formula unit. The value obtained for the density of states at the Fermi level is 3.85 states/eV/f.u.

Geometry as POSCAR:
```
ZnFe3Co
1.0
-2.146 4.880 3.145
2.146 -4.880 3.145
2.146 4.880 -3.145
Zn Fe Co
2 6 2
direct
0.000 0.000 0.000
0.500 0.000 0.500
0.232 0.626 0.606
0.319 0.069 0.250
0.479 0.374 0.106
0.521 0.626 0.894
0.681 0.931 0.750
0.768 0.374 0.394
0.081 0.331 0.750
0.919 0.669 0.250
```

three) Below is a relaxed ZnFe3Co crystal, with properties calculated at the PBE-GGA level.

Summary:
As for the space group: Pm-3m. The total moment is 10.1 μB per formula unit. The value obtained for the density of states at the Fermi level is 7.47 states/eV/f.u.

Geometry as POSCAR:
```
ZnFe3Co
1.0
4.350 0.000 0.000
0.000 4.350 0.000
0.000 0.000 4.350
Zn Fe Co
1 3 1
direct
0.000 0.000 0.000
0.000 0.000 0.500
0.000 0.500 0.000
0.500 0.000 0.000
0.500 0.500 0.500
```

Which structure is the least stable? The one labeled three).

one) Below is a relaxed ZrFe3Co crystal, with properties calculated at the PBE-GGA level.

Summary:
As for the space group: Pm-3m. The total moment is 7.5 μB per formula unit. The value obtained for the density of states at the Fermi level is 8.24 states/eV/f.u.

Geometry as POSCAR:
```
ZrFe3Co
1.0
4.506 0.000 0.000
0.000 4.506 0.000
0.000 0.000 4.506
Zr Fe Co
1 3 1
direct
0.000 0.000 0.000
0.000 0.000 0.500
0.000 0.500 0.000
0.500 0.000 0.000
0.500 0.500 0.500
```

two) Below is a relaxed ZrFe3Co crystal, with properties calculated at the PBE-GGA level.

Summary:
As for the space group: Pm-3m. The total moment is 7.7 μB per formula unit. The value obtained for the density of states at the Fermi level is 9.30 states/eV/f.u.

Geometry as POSCAR:
```
ZrFe3Co
1.0
4.301 0.000 0.000
0.000 4.301 0.000
0.000 0.000 4.301
Zr Fe Co
1 3 1
direct
0.000 0.000 0.000
0.000 0.500 0.500
0.500 0.000 0.500
0.500 0.500 0.000
0.500 0.500 0.500
```

Which structure is the least stable? The one labeled one).